(1)
An optimized crystal structure of Pm4SiSb2, computed with PBE.

```
data_Pm4SiSb2
_symmetry_space_group_name_H-M 'P 1'
_symmetry_Int_Tables_number 1
_cell_length_a 5.3219
_cell_length_b 5.3219
_cell_length_c 8.9900
_cell_angle_alpha 107.22
_cell_angle_beta 107.22
_cell_angle_gamma 90.00
loop_
_symmetry_equiv_pos_as_xyz
'x,y,z'
loop_
_atom_site_label
_atom_site_type_symbol
_atom_site_fract_x
_atom_site_fract_y
_atom_site_fract_z
_atom_site_occupancy
Pm1 Pm 0.1720 0.1720 0.3440 1
Pm2 Pm 0.5000 0.0000 0.0000 1
Pm3 Pm 0.0000 0.5000 0.0000 1
Pm4 Pm 0.8280 0.8280 0.6560 1
Si1 Si 0.0000 0.0000 0.0000 1
Sb1 Sb 0.6344 0.6344 0.2688 1
Sb2 Sb 0.3656 0.3656 0.7312 1
```

Volume, A^3/atom: 33.034
D(E_F), states/eV/cell: 4.23
Symmetry: I4/mmm (139)
Uncorrected formation energy, eV/atom: -0.610
Mass density, g cm⁻³: 6.12

***

(2)
An optimized crystal structure of Pm2SiSb, computed with PBE.

```
data_Pm2SiSb
_symmetry_space_group_name_H-M 'P 1'
_symmetry_Int_Tables_number 1
_cell_length_a 4.3048
_cell_length_b 4.3048
_cell_length_c 7.6976
_cell_angle_alpha 73.76
_cell_angle_beta 73.76
_cell_angle_gamma 60.00
loop_
_symmetry_equiv_pos_as_xyz
'x,y,z'
loop_
_atom_site_label
_atom_site_type_symbol
_atom_site_fract_x
_atom_site_fract_y
_atom_site_fract_z
_atom_site_occupancy
Pm1 Pm 0.2554 0.2554 0.2337 1
Pm2 Pm 0.7446 0.7446 0.7663 1
Sb1 Sb 0.5000 0.5000 0.5000 1
Si1 Si 0.0000 0.0000 0.0000 1
```

Volume, A^3/atom: 29.230
D(E_F), states/eV/cell: 2.88
Symmetry: R-3m (166)
Uncorrected formation energy, eV/atom: -0.804
Mass density, g cm⁻³: 6.25

***

(3)
An optimized crystal structure of Pm4SiSb, computed with PBE.

```
data_Pm4SiSb
_symmetry_space_group_name_H-M 'P 1'
_symmetry_Int_Tables_number 1
_cell_length_a 7.3146
_cell_length_b 7.3649
_cell_length_c 7.3863
_cell_angle_alpha 90.00
_cell_angle_beta 90.29
_cell_angle_gamma 90.00
loop_
_symmetry_equiv_pos_as_xyz
'x,y,z'
loop_
_atom_site_label
_atom_site_type_symbol
_atom_site_fract_x
_atom_site_fract_y
_atom_site_fract_z
_atom_site_occupancy
Sb1 Sb 0.0000 0.0000 0.0000 1
Sb2 Sb 0.5000 0.5000 0.0000 1
Si1 Si 0.5000 0.0000 0.5000 1
Si2 Si 0.0000 0.5000 0.5000 1
Pm1 Pm 0.3301 0.3335 0.3548 1
Pm2 Pm 0.6699 0.6665 0.6452 1
Pm3 Pm 0.1433 0.3511 0.8301 1
Pm4 Pm 0.1699 0.8335 0.6452 1
Pm5 Pm 0.8567 0.6489 0.1699 1
Pm6 Pm 0.6433 0.1489 0.8301 1
Pm7 Pm 0.3567 0.8511 0.1699 1
Pm8 Pm 0.8301 0.1665 0.3548 1
```

Volume, A^3/atom: 33.159
D(E_F), states/eV/cell: 17.67
Symmetry: P2_1/c (14)
Uncorrected formation energy, eV/atom: -0.424
Mass density, g cm⁻³: 6.09

***

(4)
An optimized crystal structure of PmSiSb, computed with PBE.

```
data_PmSiSb
_symmetry_space_group_name_H-M 'P 1'
_symmetry_Int_Tables_number 1
_cell_length_a 9.3850
_cell_length_b 5.7639
_cell_length_c 5.7639
_cell_angle_alpha 92.45
_cell_angle_beta 90.00
_cell_angle_gamma 90.00
loop_
_symmetry_equiv_pos_as_xyz
'x,y,z'
loop_
_atom_site_label
_atom_site_type_symbol
_atom_site_fract_x
_atom_site_fract_y
_atom_site_fract_z
_atom_site_occupancy
Sb1 Sb 0.8327 0.1255 0.1247 1
Sb2 Sb 0.8329 0.6253 0.6244 1
Sb3 Sb 0.3329 0.3747 0.3756 1
Sb4 Sb 0.3327 0.8745 0.8753 1
Si1 Si 0.0318 0.3741 0.3757 1
Si2 Si 0.5315 0.1257 0.1241 1
Si3 Si 0.0315 0.8743 0.8759 1
Si4 Si 0.5318 0.6259 0.6243 1
Pm1 Pm 0.6375 0.1257 0.6242 1
Pm2 Pm 0.6374 0.6258 0.1242 1
Pm3 Pm 0.1374 0.3742 0.8758 1
Pm4 Pm 0.1375 0.8743 0.3758 1
```

Volume, A^3/atom: 25.959
D(E_F), states/eV/cell: 6.84
Symmetry: Pmn2_1 (31)
Uncorrected formation energy, eV/atom: -0.431
Mass density, g cm⁻³: 6.29

***

(5)
An optimized crystal structure of Pm3SiSb, computed with PBE.

```
data_Pm3SiSb
_symmetry_space_group_name_H-M 'P 1'
_symmetry_Int_Tables_number 1
_cell_length_a 5.4618
_cell_length_b 5.4618
_cell_length_c 5.4618
_cell_angle_alpha 90.00
_cell_angle_beta 90.00
_cell_angle_gamma 90.00
loop_
_symmetry_equiv_pos_as_xyz
'x,y,z'
loop_
_atom_site_label
_atom_site_type_symbol
_atom_site_fract_x
_atom_site_fract_y
_atom_site_fract_z
_atom_site_occupancy
Si1 Si 0.0000 0.0000 0.0000 1
Pm1 Pm 0.5000 0.0000 0.0000 1
Pm2 Pm 0.0000 0.5000 0.0000 1
Pm3 Pm 0.0000 0.0000 0.5000 1
Sb1 Sb 0.5000 0.5000 0.5000 1
```

Volume, A^3/atom: 32.587
D(E_F), states/eV/cell: 3.63
Symmetry: Pm-3m (221)
Uncorrected formation energy, eV/atom: -0.407
Mass density, g cm⁻³: 5.96

***

(6)
An optimized crystal structure of Pm12Si5Sb3, computed with PBE.

```
data_Pm12Si5Sb3
_symmetry_space_group_name_H-M 'P 1'
_symmetry_Int_Tables_number 1
_cell_length_a 15.1885
_cell_length_b 15.1885
_cell_length_c 15.1885
_cell_angle_alpha 109.47
_cell_angle_beta 109.47
_cell_angle_gamma 109.47
loop_
_symmetry_equiv_pos_as_xyz
'x,y,z'
loop_
_atom_site_label
_atom_site_type_symbol
_atom_site_fract_x
_atom_site_fract_y
_atom_site_fract_z
_atom_site_occupancy
Pm1 Pm 0.6725 0.4587 0.5854 1
Pm2 Pm 0.4146 0.3733 0.5872 1
Pm3 Pm 0.5413 0.2139 0.1267 1
Pm4 Pm 0.0872 0.1725 0.2139 1
Pm5 Pm 0.0872 0.9146 0.3733 1
Pm6 Pm 0.1725 0.0872 0.7139 1
Pm7 Pm 0.9146 0.8275 0.5413 1
Pm8 Pm 0.0854 0.1725 0.4587 1
Pm9 Pm 0.4587 0.7861 0.8733 1
Pm10 Pm 0.5854 0.6267 0.4128 1
Pm11 Pm 0.7139 0.5872 0.1725 1
Pm12 Pm 0.3275 0.7861 0.4128 1
Pm13 Pm 0.4146 0.0413 0.3275 1
Pm14 Pm 0.0854 0.9128 0.1267 1
Pm15 Pm 0.5413 0.3275 0.9146 1
Pm16 Pm 0.4128 0.2861 0.3275 1
Pm17 Pm 0.8275 0.9146 0.0413 1
Pm18 Pm 0.1267 0.4128 0.0854 1
Pm19 Pm 0.2861 0.4128 0.8275 1
Pm20 Pm 0.5854 0.9587 0.6725 1
Pm21 Pm 0.9587 0.5854 0.1725 1
Pm22 Pm 0.3733 0.4146 0.0872 1
Pm23 Pm 0.1725 0.0854 0.9587 1
Pm24 Pm 0.8733 0.5872 0.9146 1
Pm25 Pm 0.6267 0.0413 0.2139 1
Pm26 Pm 0.7861 0.3275 0.9128 1
Pm27 Pm 0.9128 0.0854 0.6267 1
Pm28 Pm 0.3275 0.5413 0.4146 1
Pm29 Pm 0.2139 0.6725 0.0872 1
Pm30 Pm 0.6267 0.5854 0.9128 1
Pm31 Pm 0.2139 0.5413 0.6267 1
Pm32 Pm 0.8733 0.2861 0.4587 1
Pm33 Pm 0.9587 0.3733 0.2861 1
Pm34 Pm 0.4587 0.6725 0.0854 1
Pm35 Pm 0.3733 0.9587 0.7861 1
Pm36 Pm 0.2861 0.8733 0.9587 1
Pm37 Pm 0.5872 0.7139 0.6725 1
Pm38 Pm 0.0413 0.6267 0.7139 1
Pm39 Pm 0.8275 0.9128 0.2861 1
Pm40 Pm 0.9128 0.8275 0.7861 1
Pm41 Pm 0.5872 0.8733 0.4146 1
Pm42 Pm 0.4128 0.1267 0.5854 1
Pm43 Pm 0.7139 0.1267 0.0413 1
Pm44 Pm 0.0413 0.4146 0.8275 1
Pm45 Pm 0.7861 0.4587 0.3733 1
Pm46 Pm 0.9146 0.0872 0.8733 1
Pm47 Pm 0.6725 0.2139 0.5872 1
Pm48 Pm 0.1267 0.7139 0.5413 1
Si1 Si 0.5000 0.0000 0.0000 1
Si2 Si 0.6250 0.8750 0.2500 1
Si3 Si 0.7500 0.6250 0.3750 1
Si4 Si 0.5000 0.0000 0.5000 1
Si5 Si 0.1250 0.7500 0.3750 1
Si6 Si 0.0000 0.5000 0.5000 1
Si7 Si 0.2500 0.8750 0.1250 1
Si8 Si 0.8750 0.2500 0.6250 1
Si9 Si 0.6250 0.7500 0.8750 1
Si10 Si 0.3750 0.1250 0.7500 1
Si11 Si 0.0000 0.5000 0.0000 1
Si12 Si 0.2500 0.3750 0.6250 1
Si13 Si 0.5000 0.5000 0.0000 1
Si14 Si 0.7500 0.1250 0.8750 1
Si15 Si 0.3750 0.2500 0.1250 1
Si16 Si 0.0000 0.0000 0.0000 1
Si17 Si 0.1250 0.3750 0.2500 1
Si18 Si 0.5000 0.5000 0.5000 1
Si19 Si 0.8750 0.6250 0.7500 1
Si20 Si 0.0000 0.0000 0.5000 1
Sb1 Sb 0.3750 0.7500 0.6250 1
Sb2 Sb 0.1250 0.8750 0.7500 1
Sb3 Sb 0.6250 0.3750 0.7500 1
Sb4 Sb 0.7500 0.8750 0.6250 1
Sb5 Sb 0.3750 0.6250 0.2500 1
Sb6 Sb 0.8750 0.7500 0.1250 1
Sb7 Sb 0.2500 0.1250 0.3750 1
Sb8 Sb 0.2500 0.6250 0.8750 1
Sb9 Sb 0.1250 0.2500 0.8750 1
Sb10 Sb 0.7500 0.3750 0.1250 1
Sb11 Sb 0.6250 0.2500 0.3750 1
Sb12 Sb 0.8750 0.1250 0.2500 1
```

Volume, A^3/atom: 33.716
D(E_F), states/eV/cell: 47.33
Symmetry: Ia-3d (230)
Uncorrected formation energy, eV/atom: -0.401
Mass density, g cm⁻³: 5.53